VASP calculation (PBE) on an optimized crystal structure of Li8Tl3Au.

a b c (Å): 8.684 6.454 5.794
angles (deg): 74.79 73.90 123.25
Element x y z (fractional)
Au (0.757, 0.000, 0.117)
Tl (0.878, 0.505, 0.629)
Tl (0.373, 0.495, 0.135)
Tl (0.511, 0.000, 0.595)
Li (0.183, 0.461, 0.655)
Li (0.031, 0.485, 0.123)
Li (0.722, 0.539, 0.116)
Li (0.413, 0.000, 0.126)
Li (0.187, 0.000, 0.616)
Li (0.546, 0.515, 0.608)
Li (0.845, 0.000, 0.633)
Li (0.054, 0.000, 0.148)

Output
Its crystal system is monoclinic. Its formation energy from the elements is -261 meV/atom. The magnetization comes out at 0.00 μB per formula unit. For the calculated volume, the calculation gives 18.63 Å³/atom. The space-group type is Cm.